Compound: ZrAuI3
Source: Alexandria
Functional: PBE
Structure: optimized geometry

Lattice parameters (Å, degrees): 5.639 5.639 5.639 90.00 90.00 90.00
Sites, in units of the cell vectors:
Zr 0.000 0.000 0.000
Au 0.500 0.500 0.500
I 0.000 0.500 0.500
I 0.500 0.000 0.500
I 0.500 0.500 0.000

space-group type: Pm-3m, No. 221
DOS(E_F): 4.85 states/eV/f.u.
V: 35.9 Å³/atom
energy above the lowest structure with this stoichiometry: 583 meV per atom